Record 1
A plane-wave DFT calculation with PBE was carried out for a geometry-optimized Na2CaBiAs structure.

Cell lengths 5.4129, 5.4129, 5.6423 Å; angles 90.00, 90.00, 90.00 degrees
With the nearest neighbours (Å) after each atom.
Fractional coordinates of all 5 atoms:
Na: 0.0000 0.5000 0.0000  2 As 2.71
Na: 0.5000 0.0000 0.0000  2 As 2.71
Ca: 0.0000 0.0000 0.5000  2 As 2.82
Bi: 0.5000 0.5000 0.5000  4 Ca 3.83, 8 Na 3.91
As: 0.0000 0.0000 0.0000  4 Na 2.71, 2 Ca 2.82

Summary:
DFT total energy   -2.93 eV per atom


Record 2
A plane-wave DFT calculation with PBE was carried out for a geometry-optimized CaNiBi2As structure.

Cell lengths 5.8095, 5.8095, 4.5959 Å; angles 90.00, 90.00, 90.00 degrees
With the nearest neighbours (Å) after each atom.
Fractional coordinates of all 5 atoms:
Ca: 0.0000 0.0000 0.0000  2 Ni 2.30
Ni: 0.0000 0.0000 0.5000  2 Ca 2.30
Bi: 0.0000 0.5000 0.0000  2 Ca 2.90
Bi: 0.5000 0.0000 0.0000  2 Ca 2.90
As: 0.5000 0.5000 0.5000  8 Bi 3.70, 4 Ni 4.11

Summary:
DFT total energy   -2.99 eV per atom


Record 3
A plane-wave DFT calculation with PBE was carried out for a geometry-optimized CaBiAs2O8 structure.

Cell lengths 6.8392, 6.8392, 6.8392 Å; angles 136.22, 136.22, 63.64 degrees
With the nearest neighbours (Å) after each atom.
Fractional coordinates of all 12 atoms:
Ca: 0.0000 0.0000 0.0000  8 O 2.40-2.49
Bi: 0.2500 0.7500 0.5000  8 O 2.38-2.48
As: 0.5000 0.5000 0.0000  4 O 1.73
As: 0.7500 0.2500 0.5000  4 O 1.73
O: 0.2735 0.6682 0.1004  1 As 1.73
O: 0.3318 0.4322 0.6053  1 As 1.73
O: 0.4225 0.0242 0.1028  1 As 1.73
O: 0.5678 0.1731 0.8996  1 As 1.73
O: 0.6803 0.5775 0.6017  1 As 1.73
O: 0.8269 0.7265 0.3947  1 As 1.73
O: 0.9214 0.3197 0.8972  1 As 1.73
O: 0.9758 0.0786 0.3983  1 As 1.73

Summary:
Energy relative to the elements, uncorrected   -1521.9 meV per atom